DFT (PBE-GGA) results for a relaxed YTlFe2 crystal.

Computed properties:
Crystal system: tetragonal

a b c (Å): 6.115 6.115 6.115
angles (deg): 103.26 103.26 122.77
Element x y z (fractional)
Y: 0.000 0.000 0.000
Y: 0.750 0.250 0.500
Tl: 0.250 0.750 0.500
Tl: 0.500 0.500 0.000
Fe: 0.143 0.625 0.018
Fe: 0.375 0.393 0.518
Fe: 0.607 0.125 0.982
Fe: 0.875 0.857 0.482

***

DFT (PBE-GGA) results for a relaxed YTlFe2 crystal.

Computed properties:
Crystal system: orthorhombic

a b c (Å): 3.651 5.415 5.415
angles (deg): 45.94 90.00 90.00
Element x y z (fractional)
Y: 0.000 0.000 0.000
Tl: 0.500 0.709 0.709
Fe: 0.000 0.293 0.293
Fe: 0.500 0.426 0.426

***

no.,energy of formation from the pure elements (meV per atom),relative energy among the computed polymorphs (meV/atom)
1,661,527
2,180,46